# 1
A plane-wave DFT calculation with PBE-GGA was carried out for crystalline CdCoP2W at its relaxed geometry.

abc: 4.6463 4.8059 4.6463
angles: 90.00 90.00 90.00
With the nearest neighbours (Å) after each atom.
Fractional positions:
Cd (0.5000, 0.5000, 0.5000)  4 Co 3.29, 8 P 3.34
W (0.0000, 0.0000, 0.0000)  4 P 2.32, 2 Co 2.40
P (0.0000, 0.0000, 0.5000)  2 W 2.32
Co (0.0000, 0.5000, 0.0000)  2 W 2.40
P (0.5000, 0.0000, 0.0000)  2 W 2.32

# 2
A plane-wave DFT calculation with PBE-GGA was carried out for crystalline Zr4ReRu2 at its relaxed geometry.

abc: 5.6470 5.6470 5.6470
angles: 109.73 109.34 109.34
With the nearest neighbours (Å) after each atom.
Fractional positions:
Zr (0.5000, 0.0000, 0.0000)  4 Ru 2.82, 2 Re 2.82
Zr (0.0000, 0.5000, 0.0000)  4 Ru 2.82, 2 Re 2.82
Zr (0.5000, 0.5000, 0.5000)  4 Ru 2.82, 2 Re 2.82
Ru (0.5000, 0.5000, 0.0000)  8 Zr 2.82
Zr (0.0000, 0.0000, 0.5000)  2 Re 2.82, 4 Ru 2.82
Re (0.0000, 0.0000, 0.0000)  8 Zr 2.82
Ru (0.5000, 0.0000, 0.5000)  8 Zr 2.82

# 3
A plane-wave DFT calculation with PBE-GGA was carried out for crystalline KRb2ZnBr5 at its relaxed geometry.

Output
Formation energy (no corrections) = -1.467 eV/atom

abc: 9.4104 9.4104 10.0188
angles: 118.01 118.01 90.00
With the nearest neighbours (Å) after each atom.
Fractional positions:
Br (0.2985, 0.7985, 0.3054)  1 Zn 2.43
Br (0.4930, 0.7015, 0.6946)  1 Zn 2.43
K (0.2500, 0.2500, 0.5000)  10 Br 3.74-3.89
Br (0.0070, 0.5070, 0.3054)  1 Zn 2.43
K (0.7500, 0.7500, 0.5000)  10 Br 3.74-3.89
Rb (0.1609, 0.3391, 0.0000)  8 Br 3.44-3.69
Zn (0.2500, 0.7500, 0.5000)  4 Br 2.43
Br (0.5070, 0.2985, 0.3054)  1 Zn 2.43
Br (0.5000, 0.5000, 0.0000)  4 Rb 3.53, 2 K 3.74
Zn (0.7500, 0.2500, 0.5000)  4 Br 2.43
Rb (0.6609, 0.1609, 0.0000)  8 Br 3.44-3.69
Rb (0.8391, 0.6609, 0.0000)  8 Br 3.44-3.69
Br (0.0000, 0.0000, 0.0000)  4 Rb 3.53, 2 K 3.74
Rb (0.3391, 0.8391, 0.0000)  8 Br 3.44-3.69
Br (0.2015, 0.9930, 0.6946)  1 Zn 2.43
Br (0.7985, 0.0070, 0.3054)  1 Zn 2.43
Br (0.7015, 0.2015, 0.6946)  1 Zn 2.43
Br (0.9930, 0.4930, 0.6946)  1 Zn 2.43

# 4
A plane-wave DFT calculation with PBE-GGA was carried out for crystalline RbPH4 at its relaxed geometry.

Output
Distance to the lowest polymorph of the same formula = 0.00 kJ per mole of atoms

abc: 5.8434 5.8434 7.0237
angles: 90.00 90.00 67.29
With the nearest neighbours (Å) after each atom.
Fractional positions:
H (0.4672, 0.4672, 0.4708)  1 H 0.76
H (0.5328, 0.5328, 0.9708)  1 H 0.76
H (0.9301, 0.2494, 0.2500)  1 P 1.44
H (0.4672, 0.4672, 0.0292)  1 H 0.76
Rb (0.8067, 0.8067, 0.2500)  4 H 2.94-3.05
H (0.5328, 0.5328, 0.5292)  1 H 0.76
H (0.2494, 0.9301, 0.2500)  1 P 1.44
H (0.7506, 0.0699, 0.7500)  1 P 1.44
P (0.1922, 0.1922, 0.2500)  2 H 1.44
Rb (0.1933, 0.1933, 0.7500)  4 H 2.94-3.05
P (0.8078, 0.8078, 0.7500)  2 H 1.44
H (0.0699, 0.7506, 0.7500)  1 P 1.44

# 5
A plane-wave DFT calculation with PBE-GGA was carried out for crystalline Tb2SmDyHo6 at its relaxed geometry.

abc: 9.5467 8.7438 8.7438
angles: 117.91 94.01 94.01
With the nearest neighbours (Å) after each atom.
Fractional positions:
Ho (0.4431, 0.2518, 0.8765)  7 Ho 3.38-3.71, 1 Tb 3.49, 1 Sm 3.66
Tb (0.9554, 0.6990, 0.8034)  6 Ho 3.25-3.59, 2 Sm 3.37-3.38, 1 Dy 3.52
Ho (0.0569, 0.1235, 0.7482)  7 Ho 3.38-3.71, 1 Tb 3.49, 1 Sm 3.66
Sm (0.2500, 0.9768, 0.0232)  4 Tb 3.37-3.38, 4 Ho 3.56-3.66
Ho (0.8806, 0.2919, 0.5066)  4 Ho 3.20-3.50, 3 Tb 3.25-3.41, 2 Dy 3.40-3.53
Dy (0.2500, 0.4086, 0.5914)  8 Ho 3.40-3.79, 2 Tb 3.52
Tb (0.0446, 0.3010, 0.1966)  6 Ho 3.25-3.59, 2 Sm 3.37-3.38, 1 Dy 3.52
Ho (0.8162, 0.4304, 0.9800)  3 Ho 3.20-3.57, 1 Tb 3.38, 1 Dy 3.46, 1 Sm 3.56
Ho (0.9431, 0.8765, 0.2518)  7 Ho 3.38-3.71, 1 Tb 3.49, 1 Sm 3.66
Ho (0.1194, 0.7081, 0.4934)  4 Ho 3.20-3.50, 3 Tb 3.25-3.41, 2 Dy 3.40-3.53
Dy (0.7500, 0.5914, 0.4086)  8 Ho 3.40-3.79, 2 Tb 3.52
Ho (0.3806, 0.5066, 0.2919)  4 Ho 3.20-3.50, 3 Tb 3.25-3.41, 2 Dy 3.40-3.53
Ho (0.3162, 0.9800, 0.4304)  3 Ho 3.20-3.57, 1 Tb 3.38, 1 Dy 3.46, 1 Sm 3.56
Ho (0.5569, 0.7482, 0.1235)  7 Ho 3.38-3.71, 1 Tb 3.49, 1 Sm 3.66
Sm (0.7500, 0.0232, 0.9768)  4 Tb 3.37-3.38, 4 Ho 3.56-3.66
Ho (0.6194, 0.4934, 0.7081)  4 Ho 3.20-3.50, 3 Tb 3.25-3.41, 2 Dy 3.40-3.53
Tb (0.4554, 0.8034, 0.6990)  6 Ho 3.25-3.59, 2 Sm 3.37-3.38, 1 Dy 3.52
Ho (0.1838, 0.5696, 0.0200)  3 Ho 3.20-3.57, 1 Tb 3.38, 1 Dy 3.46, 1 Sm 3.56
Ho (0.6838, 0.0200, 0.5696)  3 Ho 3.20-3.57, 1 Tb 3.38, 1 Dy 3.46, 1 Sm 3.56
Tb (0.5446, 0.1966, 0.3010)  6 Ho 3.25-3.59, 2 Sm 3.37-3.38, 1 Dy 3.52

# 6
A plane-wave DFT calculation with PBE-GGA was carried out for crystalline Nd8AsSe4S3 at its relaxed geometry.

Output
Formation energy (no corrections) = -1.888 eV/atom

abc: 8.3193 8.4105 8.3194
angles: 119.64 120.00 90.00
With the nearest neighbours (Å) after each atom.
Fractional positions:
S (0.5000, 0.5000, 0.0000)  6 Nd 2.86
Nd (0.2461, 0.7304, 0.4922)  2 S 2.87, 1 As 2.91, 3 Se 3.01-3.05
Nd (0.2581, 0.2742, 0.5162)  3 S 2.86, 3 Se 3.06
Se (0.5000, 0.0000, 0.0000)  6 Nd 3.01
As (0.0000, 0.5000, 0.0000)  6 Nd 2.91
Nd (0.2462, 0.7304, 0.9844)  2 S 2.86-2.87, 1 As 2.91, 3 Se 3.01-3.05
Nd (0.7382, 0.7304, 0.9844)  2 S 2.86-2.87, 1 As 2.91, 3 Se 3.01-3.05
Se (0.0000, 0.0000, 0.0000)  6 Nd 3.05-3.06
S (0.0000, 0.5000, 0.5000)  6 Nd 2.86-2.87
Nd (0.7538, 0.2696, 0.0156)  2 S 2.86-2.87, 1 As 2.91, 3 Se 3.01-3.05
Nd (0.7419, 0.7258, 0.4838)  3 S 2.86, 3 Se 3.06
Se (0.0000, 0.0000, 0.5000)  6 Nd 3.05-3.06
Nd (0.7539, 0.2696, 0.5078)  2 S 2.87, 1 As 2.91, 3 Se 3.01-3.05
Se (0.5000, 0.0000, 0.5000)  6 Nd 3.05-3.06
S (0.5000, 0.5000, 0.5000)  6 Nd 2.86-2.87
Nd (0.2618, 0.2696, 0.0156)  2 S 2.86-2.87, 1 As 2.91, 3 Se 3.01-3.05

# 7
A plane-wave DFT calculation with PBE-GGA was carried out for crystalline PrHo2WN4 at its relaxed geometry.

Output
Formation energy (no corrections) = -1.128 eV/atom

abc: 3.4249 6.1993 11.9568
angles: 90.00 90.00 106.04
With the nearest neighbours (Å) after each atom.
Fractional positions:
N (0.2621, 0.5243, 0.3811)  1 W 1.91
W (0.1705, 0.3410, 0.2500)  4 N 1.91-2.07
N (0.7379, 0.4757, 0.6189)  1 W 1.91
W (0.8295, 0.6590, 0.7500)  4 N 1.91-2.07
Ho (0.3708, 0.7417, 0.5382)  5 N 2.28-2.52
N (0.2621, 0.5243, 0.1189)  1 W 1.91
Pr (0.0872, 0.1745, 0.7500)  2 N 2.56
Pr (0.9128, 0.8255, 0.2500)  2 N 2.56
Ho (0.6292, 0.2583, 0.0382)  5 N 2.28-2.52
Ho (0.3708, 0.7417, 0.9618)  5 N 2.28-2.52
N (0.0000, 0.0000, 0.0000)  4 Ho 2.35
N (0.7379, 0.4757, 0.8811)  1 W 1.91
Ho (0.6292, 0.2583, 0.4618)  5 N 2.28-2.52
N (0.0000, 0.0000, 0.5000)  4 Ho 2.35
N (0.5722, 0.1445, 0.2500)  2 W 2.07
N (0.4278, 0.8555, 0.7500)  2 W 2.07

# 8
A plane-wave DFT calculation with PBE-GGA was carried out for crystalline Cd2HgPb at its relaxed geometry.

Output
Distance to the lowest polymorph of the same formula = 1.94 kJ per mole of atoms

abc: 3.3953 3.3953 10.1308
angles: 90.00 90.00 114.54
With the nearest neighbours (Å) after each atom.
Fractional positions:
Pb (0.5000, 0.5000, 0.7523)  2 Cd 3.23, 2 Hg 3.28, 4 Pb 3.40
Cd (0.0000, 0.0000, 0.0148)  2 Cd 3.00, 2 Pb 3.23
Hg (0.0000, 0.0000, 0.4845)  2 Cd 3.02, 2 Pb 3.28
Cd (0.5000, 0.5000, 0.2484)  2 Cd 3.00, 2 Hg 3.02

Energy per entry: -0.206, -0.353, -0.106, -0.128, -0.165, -0.228, -0.318, -0.051 Ha/atom